DFT (PBEsol) results for Al3Ag after structural relaxation.

Calculated values
**Formation energy from the elements**: -0.036 eV per atom
**Total magnetic moment**: 0.000 μB per formula unit
**DFT total energy**: -3.932 eV/atom
**Density of states at the Fermi level**: 1.36 states/eV/cell

The structure in CIF format:
```
data_Al3Ag
_chemical_formula_sum 'Al3 Ag1'
_space_group_name_H-M_alt 'P 4/m m m'
_space_group_IT_number 123
_space_group_name_Hall '-P 4 2'
_cell_length_a 2.857
_cell_length_b 2.857
_cell_length_c 7.931
_cell_angle_alpha 90.00
_cell_angle_beta 90.00
_cell_angle_gamma 90.00
loop_
_atom_site_label
_atom_site_type_symbol
_atom_site_fract_x
_atom_site_fract_y
_atom_site_fract_z
_atom_site_occupancy
Al1 Al 0.000 0.000 0.000 1
Al2 Al 0.500 0.500 0.254 1
Ag1 Ag 0.000 0.000 0.500 1
```



DFT (PBEsol) results for Al5Ag4 after structural relaxation.

Calculated values
**Formation energy from the elements**: -0.060 eV per atom
**Total magnetic moment**: 0.000 μB per formula unit
**DFT total energy**: -3.805 eV/atom
**Density of states at the Fermi level**: 2.92 states/eV/cell
**Polymorph energy (0 for the lowest one)**: 0.000 eV/atom

The structure in CIF format:
```
data_Al5Ag4
_chemical_formula_sum 'Al5 Ag4'
_space_group_name_H-M_alt 'P -1'
_space_group_IT_number 2
_space_group_name_Hall '-P 1'
_cell_length_a 4.974
_cell_length_b 4.974
_cell_length_c 7.287
_cell_angle_alpha 89.42
_cell_angle_beta 70.88
_cell_angle_gamma 60.11
loop_
_atom_site_label
_atom_site_type_symbol
_atom_site_fract_x
_atom_site_fract_y
_atom_site_fract_z
_atom_site_occupancy
Al1 Al 0.000 0.000 0.000 1
Al2 Al 0.213 0.234 0.660 1
Al3 Al 0.330 0.335 0.999 1
Ag1 Ag 0.128 0.098 0.324 1
Ag2 Ag 0.457 0.430 0.326 1
```



Repeat the first record exactly.
DFT (PBEsol) results for Al3Ag after structural relaxation.

Calculated values
**Formation energy from the elements**: -0.036 eV per atom
**Total magnetic moment**: 0.000 μB per formula unit
**DFT total energy**: -3.932 eV/atom
**Density of states at the Fermi level**: 1.36 states/eV/cell

The structure in CIF format:
```
data_Al3Ag
_chemical_formula_sum 'Al3 Ag1'
_space_group_name_H-M_alt 'P 4/m m m'
_space_group_IT_number 123
_space_group_name_Hall '-P 4 2'
_cell_length_a 2.857
_cell_length_b 2.857
_cell_length_c 7.931
_cell_angle_alpha 90.00
_cell_angle_beta 90.00
_cell_angle_gamma 90.00
loop_
_atom_site_label
_atom_site_type_symbol
_atom_site_fract_x
_atom_site_fract_y
_atom_site_fract_z
_atom_site_occupancy
Al1 Al 0.000 0.000 0.000 1
Al2 Al 0.500 0.500 0.254 1
Ag1 Ag 0.000 0.000 0.500 1
```